The following is a DFT calculation (PBE-GGA) of a relaxed GdTa7O19 crystal.

## Properties
Magnetic moment: 7.0 μB per formula unit
E_tot: -10.01 eV per atom
D(E_F): 0.0 states/eV/f.u.

Cell lengths 6.2776, 6.2776, 20.1104 Å; angles 90.00, 90.00, 120.00 degrees
Closest atoms and distances in Å follow each position.
Space group P-6c2 (No. 188)
Symmetry-distinct sites (fractional):
Gd 0.0000 0.0000 0.0000 [2 per cell]  8 O 2.43-2.65
Ta 0.3339 0.0259 0.1556 [12 per cell]  6 O 1.93-2.08
Ta 0.6667 0.3333 0.0000 [2 per cell]  6 O 2.01
O 0.0000 0.0000 0.1318 [4 per cell]  3 Ta 2.08
O 0.0880 0.4214 0.6531 [12 per cell]  2 Ta 1.99-2.00
O 0.2921 0.0430 0.2500 [6 per cell]  2 Ta 1.93
O 0.3804 0.0971 0.0562 [12 per cell]  2 Ta 2.01-2.04
O 0.6667 0.3333 0.1665 [4 per cell]  3 Ta 2.03